# 1
Material: SrNbAg
Method: DFT, PBE-GGA
State: optimized geometry

Crystal system = monoclinic
ΔH_f (0 K) = 343 meV/atom
Space-group type = C2/m
DOS at the Fermi energy = 3.8 states/eV/cell
Total DFT energy (no corrections) = -4.525 eV/atom

Cell: 3.402 7.671 8.202 Å, 130.69 101.95 89.98°
Fractional positions:
Nb 0.943 0.071 0.638
Nb 0.525 0.972 0.803
Ag 0.542 0.482 0.837
Ag 0.926 0.560 0.603
Sr 0.234 0.021 0.220
Sr 0.234 0.521 0.220

=====

# 2
Material: SrNbAg
Method: DFT, PBE-GGA
State: optimized geometry

Crystal system = cubic
ΔH_f (0 K) = 1264 meV/atom
Space-group type = F-43m
DOS at the Fermi energy = 0.7 states/eV/cell
Total DFT energy (no corrections) = -3.603 eV/atom

Cell: 4.849 4.849 4.849 Å, 60.00 60.00 60.00°
Fractional positions:
Sr 0.250 0.250 0.250
Nb 0.500 0.500 0.500
Ag 0.750 0.750 0.750

=====

# 3
Material: SrNbAg
Method: DFT, PBE-GGA
State: optimized geometry

Crystal system = orthorhombic
ΔH_f (0 K) = 258 meV/atom
Space-group type = Immm
DOS at the Fermi energy = 4.3 states/eV/cell
Total DFT energy (no corrections) = -4.610 eV/atom

Cell: 4.447 3.528 10.431 Å, 99.72 102.32 90.02°
Fractional positions:
Ag 0.872 0.629 0.496
Ag 0.096 0.853 0.944
Nb 0.985 0.241 0.720
Nb 0.484 0.741 0.720
Sr 0.309 0.067 0.371
Sr 0.658 0.415 0.069

=====

# 4
Material: SrNbAg
Method: DFT, PBE-GGA
State: optimized geometry

Crystal system = triclinic
ΔH_f (0 K) = 336 meV/atom
Space-group type = P-1
DOS at the Fermi energy = 6.4 states/eV/cell
Total DFT energy (no corrections) = -4.532 eV/atom

Cell: 4.671 5.739 7.786 Å, 80.66 126.94 90.07°
Fractional positions:
Nb 0.360 0.188 0.709
Nb 0.881 0.354 0.731
Sr 0.785 0.530 0.134
Sr 0.457 0.013 0.306
Ag 0.984 0.838 0.833
Ag 0.258 0.704 0.607

=====

# 5
Material: SrNbAg
Method: DFT, PBE-GGA
State: optimized geometry

Crystal system = triclinic
ΔH_f (0 K) = 355 meV/atom
Space-group type = P1
DOS at the Fermi energy = 6.1 states/eV/cell
Total DFT energy (no corrections) = -4.513 eV/atom

Cell: 3.476 7.974 6.387 Å, 67.34 89.84 102.53°
Fractional positions:
Nb 0.814 0.405 0.367
Nb 0.219 0.218 0.245
Sr 0.540 0.858 0.152
Sr 0.898 0.577 0.786
Ag 0.598 0.978 0.602
Ag 0.220 0.221 0.770

=====

# 6
Material: SrNbAg3
Method: DFT, PBE-GGA
State: optimized geometry

Crystal system = cubic
ΔH_f (0 K) = 671 meV/atom
Space-group type = Pm-3m
DOS at the Fermi energy = 4.9 states/eV/cell
Total DFT energy (no corrections) = -3.390 eV/atom

Cell: 5.234 5.234 5.234 Å, 90.00 90.00 90.00°
Fractional positions:
Ag 0.000 0.500 0.000
Ag 0.500 0.000 0.000
Ag 0.000 0.000 0.500
Sr 0.500 0.500 0.500
Nb 0.000 0.000 0.000

=====

# 7
Material: SrNbAg
Method: DFT, PBE-GGA
State: optimized geometry

Crystal system = triclinic
ΔH_f (0 K) = 392 meV/atom
Space-group type = P-1
DOS at the Fermi energy = 4.0 states/eV/cell
Total DFT energy (no corrections) = -4.476 eV/atom

Cell: 4.780 5.072 7.402 Å, 109.92 95.32 74.08°
Fractional positions:
Nb 0.862 0.879 0.245
Nb 0.163 0.155 0.245
Sr 0.512 0.651 0.514
Sr 0.513 0.383 0.976
Ag 0.012 0.818 0.848
Ag 0.014 0.216 0.642

=====

# 8
Material: SrNbAg
Method: DFT, PBE-GGA
State: optimized geometry

Crystal system = orthorhombic
ΔH_f (0 K) = 278 meV/atom
Space-group type = Cmcm
DOS at the Fermi energy = 5.1 states/eV/cell
Total DFT energy (no corrections) = -4.590 eV/atom

Cell: 5.216 4.974 6.564 Å, 67.72 90.00 90.00°
Fractional positions:
Nb 0.984 0.271 0.720
Nb 0.484 0.271 0.720
Sr 0.234 0.983 0.297
Sr 0.734 0.560 0.143
Ag 0.734 0.835 0.593
Ag 0.234 0.707 0.847